Density functional theory data (GGA+U) for a relaxed Cs2CaCo3F12 crystal.

Geometry as CIF:
```
data_Cs2CaCo3F12
_chemical_formula_sum 'Cs6 Ca3 Co9 F36'
_space_group_name_H-M_alt 'R -3 m'
_space_group_IT_number 166
_space_group_name_Hall '-R 3 2"'
_cell_length_a 7.5410
_cell_length_b 7.5410
_cell_length_c 18.4460
_cell_angle_alpha 90.00
_cell_angle_beta 90.00
_cell_angle_gamma 120.00
loop_
_atom_site_label
_atom_site_fract_x
_atom_site_fract_y
_atom_site_fract_z
_atom_site_occupancy
Cs1 0.0000 0.0000 0.1159 1
Ca1 0.0000 0.0000 0.5000 1
Co1 0.0000 0.5000 0.0000 1
F1 0.0351 0.5175 0.1034 1
F2 0.0752 0.5376 0.3436 1
```

**Crystal system**: trigonal
**V**: 16.8 Å³/atom
**Fermi-level density of states**: 0.386 states/eV per atom
**Energy**: -0.35690 Ry/atom